## P
Below is a geometry-optimized ZrV2Cr structure, with properties calculated at the PBE-GGA level.

Cell: 2.7772 5.0081 5.4074 Å, 117.59 102.42 90.00°
Closest atoms and distances in Å follow each position.
Positions (direct):
V  0.1902  0.2027  0.4053  2 Cr 2.31-2.37
V  0.8098  0.7973  0.5947  2 Cr 2.31-2.37
Zr  0.5000  0.5000  0.0000  2 Cr 2.50, 2 V 2.77, 2 Zr 2.78
Cr  0.5000  0.0000  0.0000  4 V 2.31-2.37, 2 Zr 2.50

---

## Q
Below is a geometry-optimized ZrV2Cr structure, with properties calculated at the PBE-GGA level.

Cell: 4.3947 4.3947 4.3947 Å, 60.00 60.00 60.00°
Closest atoms and distances in Å follow each position.
Positions (direct):
Zr  0.5000  0.5000  0.5000  8 V 2.69
Cr  0.0000  0.0000  0.0000  8 V 2.69
V  0.2500  0.2500  0.2500  4 Cr 2.69, 4 Zr 2.69
V  0.7500  0.7500  0.7500  4 Cr 2.69, 4 Zr 2.69

---

## R
Below is a geometry-optimized ZrV2Cr structure, with properties calculated at the PBE-GGA level.

Cell: 2.9841 2.9841 6.8724 Å, 90.00 90.00 90.00°
Closest atoms and distances in Å follow each position.
Positions (direct):
Cr  0.5000  0.5000  0.0000  8 V 2.51
V  0.0000  0.0000  0.8013  4 Cr 2.51, 1 V 2.73
V  0.0000  0.0000  0.1987  4 Cr 2.51, 1 V 2.73
Zr  0.5000  0.5000  0.5000  8 V 2.96, 4 Zr 2.98

---

So which one is most stable? That would be R, about 137 meV/atom below the next structure.

---

## P
Below is a geometry-optimized ZrV2Cr2 structure, with properties calculated at the PBE-GGA level.

Cell: 3.8641 3.8641 5.8298 Å, 70.65 70.65 90.00°
Closest atoms and distances in Å follow each position.
Positions (direct):
Cr  0.6100  0.6100  0.7799  1 Cr 2.27, 4 V 2.41
Cr  0.3900  0.3900  0.2201  1 Cr 2.27, 4 V 2.41
V  0.7500  0.2500  0.5000  4 Cr 2.41
V  0.2500  0.7500  0.5000  4 Cr 2.41
Zr  0.0000  0.0000  0.0000  8 Cr 2.96, 8 V 3.22

---

## Q
Below is a geometry-optimized ZrV2Cr2 structure, with properties calculated at the PBE-GGA level.

Cell: 7.2268 7.2268 2.9266 Å, 90.00 90.00 90.00°
Closest atoms and distances in Å follow each position.
Positions (direct):
Cr  0.8651  0.6349  0.0000  6 V 2.48-2.71, 1 Cr 2.76
Cr  0.3651  0.8651  0.0000  6 V 2.48-2.71, 1 Cr 2.76
Cr  0.6349  0.1349  0.0000  6 V 2.48-2.71, 1 Cr 2.76
Cr  0.1349  0.3651  0.0000  6 V 2.48-2.71, 1 Cr 2.76
Zr  0.5000  0.5000  0.0000  4 Cr 2.81, 2 Zr 2.93, 8 V 3.15
Zr  0.0000  0.0000  0.0000  4 Cr 2.81, 2 Zr 2.93, 8 V 3.15
V  0.3586  0.1414  0.5000  6 Cr 2.48-2.71
V  0.6414  0.8586  0.5000  6 Cr 2.48-2.71
V  0.8586  0.3586  0.5000  6 Cr 2.48-2.71
V  0.1414  0.6414  0.5000  6 Cr 2.48-2.71

---

So which one is most stable? That would be Q, about 34 meV/atom below the next structure.

---

## P
Below is a geometry-optimized ZrV3Cr structure, with properties calculated at the PBE-GGA level.

Cell: 4.3697 4.3697 4.3697 Å, 90.00 90.00 90.00°
Closest atoms and distances in Å follow each position.
Positions (direct):
V  0.5000  0.0000  0.0000  2 Cr 2.18
V  0.0000  0.5000  0.0000  2 Cr 2.18
V  0.0000  0.0000  0.5000  2 Cr 2.18
Zr  0.5000  0.5000  0.5000  12 V 3.09
Cr  0.0000  0.0000  0.0000  6 V 2.18

---

## Q
Below is a geometry-optimized ZrV3Cr structure, with properties calculated at the PBE-GGA level.

Cell: 4.6603 4.6603 4.6603 Å, 90.00 90.00 90.00°
Closest atoms and distances in Å follow each position.
Positions (direct):
V  0.5000  0.0000  0.0000  2 Zr 2.33
V  0.0000  0.5000  0.0000  2 Zr 2.33
V  0.0000  0.0000  0.5000  2 Zr 2.33
Cr  0.5000  0.5000  0.5000  12 V 3.30
Zr  0.0000  0.0000  0.0000  6 V 2.33

---

So which one is most stable? That would be P, about 1192 meV/atom below the next structure.

---

## P
Below is a geometry-optimized CrW2 structure, with properties calculated at the PBE-GGA level.

Cell: 3.1001 6.6965 4.3816 Å, 90.00 90.00 76.62°
Closest atoms and distances in Å follow each position.
Positions (direct):
Cr  0.9185  0.1631  0.2500  8 W 2.60-2.68
Cr  0.0815  0.8369  0.7500  8 W 2.60-2.68
W  0.2515  0.4970  0.2500  2 Cr 2.67, 6 W 2.68-2.73
W  0.4212  0.1577  0.7500  6 Cr 2.60-2.68, 2 W 2.73
W  0.7485  0.5030  0.7500  2 Cr 2.67, 6 W 2.68-2.73
W  0.5788  0.8423  0.2500  6 Cr 2.60-2.68, 2 W 2.73

---

## Q
Below is a geometry-optimized CrW2 structure, with properties calculated at the PBE-GGA level.

Cell: 5.2765 4.3435 7.7890 Å, 90.00 90.00 90.00°
Closest atoms and distances in Å follow each position.
Positions (direct):
W  0.1735  0.2500  0.5822  5 Cr 2.62-2.68, 3 W 2.74-2.76
W  0.3265  0.7500  0.0822  5 Cr 2.62-2.68, 3 W 2.74-2.76
W  0.5124  0.2500  0.2546  3 Cr 2.62-2.73, 5 W 2.64-2.76
W  0.4876  0.7500  0.7454  3 Cr 2.62-2.73, 5 W 2.64-2.76
W  0.9876  0.7500  0.7546  3 Cr 2.62-2.73, 5 W 2.64-2.76
W  0.8265  0.7500  0.4178  5 Cr 2.62-2.68, 3 W 2.74-2.76
W  0.0124  0.2500  0.2454  3 Cr 2.62-2.73, 5 W 2.64-2.76
W  0.6735  0.2500  0.9178  5 Cr 2.62-2.68, 3 W 2.74-2.76
Cr  0.8289  0.7500  0.0738  8 W 2.62-2.73
Cr  0.3289  0.7500  0.4262  8 W 2.62-2.73
Cr  0.1711  0.2500  0.9262  8 W 2.62-2.73
Cr  0.6711  0.2500  0.5738  8 W 2.62-2.73

---

So which one is most stable? That would be P, about 135 meV/atom below the next structure.

---

## P
Below is a geometry-optimized CrW2 structure, with properties calculated at the PBE-GGA level.

Cell: 3.0924 3.0924 5.1146 Å, 107.60 107.60 90.00°
Closest atoms and distances in Å follow each position.
Positions (direct):
Cr  0.0000  0.0000  0.0000  8 W 2.65
W  0.6621  0.6621  0.3241  4 Cr 2.65, 4 W 2.73
W  0.3379  0.3379  0.6759  4 Cr 2.65, 4 W 2.73

---

## Q
Below is a geometry-optimized CrW2 structure, with properties calculated at the PBE-GGA level.

Cell: 2.7027 2.7027 6.6512 Å, 97.78 97.78 109.48°
Closest atoms and distances in Å follow each position.
Positions (direct):
Cr  0.0000  0.0000  0.0000  4 W 2.60, 4 Cr 2.70
W  0.3389  0.3389  0.6777  2 Cr 2.60, 6 W 2.70-2.78
W  0.6611  0.6611  0.3223  2 Cr 2.60, 6 W 2.70-2.78

---

So which one is most stable? That would be P, about 27 meV/atom below the next structure.

---

## P
Below is a geometry-optimized CrW2 structure, with properties calculated at the PBE-GGA level.

Cell: 2.9125 2.9125 6.1813 Å, 90.00 90.00 120.00°
Closest atoms and distances in Å follow each position.
Positions (direct):
W  0.6667  0.3333  0.3187  3 Cr 2.59, 3 W 2.80
W  0.3333  0.6667  0.6813  3 Cr 2.59, 3 W 2.80
Cr  0.0000  0.0000  0.0000  6 W 2.59

---

## Q
Below is a geometry-optimized CrW2 structure, with properties calculated at the PBE-GGA level.

Cell: 2.7536 2.7536 14.2522 Å, 90.00 90.00 120.00°
Closest atoms and distances in Å follow each position.
Positions (direct):
Cr  0.3333  0.6667  0.2500  6 W 2.74, 6 Cr 2.75
Cr  0.6667  0.3333  0.7500  6 W 2.74, 6 Cr 2.75
W  0.0000  0.0000  0.4063  7 W 2.67-2.75, 3 Cr 2.74
W  0.0000  0.0000  0.0937  7 W 2.67-2.75, 3 Cr 2.74
W  0.0000  0.0000  0.9063  7 W 2.67-2.75, 3 Cr 2.74
W  0.0000  0.0000  0.5937  7 W 2.67-2.75, 3 Cr 2.74

---

## R
Below is a geometry-optimized CrW2 structure, with properties calculated at the PBE-GGA level.

Cell: 3.0981 5.1338 6.1880 Å, 71.94 90.00 107.56°
Closest atoms and distances in Å follow each position.
Positions (direct):
W  0.0294  0.0587  0.9336  4 Cr 2.62-2.67, 4 W 2.71-2.75
W  0.0262  0.0524  0.4553  4 Cr 2.62-2.67, 4 W 2.71-2.75
W  0.6973  0.3946  0.1030  2 Cr 2.63, 6 W 2.71-2.75
W  0.3583  0.7165  0.2859  2 Cr 2.63, 6 W 2.71-2.75
Cr  0.3606  0.7213  0.7762  6 W 2.62-2.67, 2 Cr 2.67
Cr  0.6949  0.3898  0.6127  6 W 2.62-2.67, 2 Cr 2.67

---

So which one is most stable? That would be R, about 357 meV/atom below the next structure.

---

## P
Below is a geometry-optimized CrW2 structure, with properties calculated at the PBE-GGA level.

Cell: 7.1222 7.1222 3.0784 Å, 90.00 90.00 120.00°
Closest atoms and distances in Å follow each position.
Positions (direct):
W  0.0000  0.5882  0.5000  5 Cr 2.64-2.93, 2 W 2.76
W  0.4118  0.4118  0.5000  5 Cr 2.64-2.93, 2 W 2.76
W  0.5882  0.0000  0.5000  5 Cr 2.64-2.93, 2 W 2.76
W  0.7331  0.7331  0.0000  4 Cr 2.45-2.64
W  0.2669  0.0000  0.0000  4 Cr 2.45-2.64
W  0.0000  0.2669  0.0000  4 Cr 2.45-2.64
Cr  0.6667  0.3333  0.0000  9 W 2.64
Cr  0.0000  0.0000  0.5000  6 W 2.45
Cr  0.3333  0.6667  0.0000  9 W 2.64

---

## Q
Below is a geometry-optimized CrW2 structure, with properties calculated at the PBE-GGA level.

Cell: 4.1220 4.1220 2.9479 Å, 90.00 90.00 90.00°
Closest atoms and distances in Å follow each position.
Positions (direct):
Cr  0.0000  0.0000  0.0000  8 W 2.53
W  0.0000  0.5000  0.5000  4 Cr 2.53
W  0.5000  0.0000  0.5000  4 Cr 2.53

---

## R
Below is a geometry-optimized CrW2 structure, with properties calculated at the PBE-GGA level.

Cell: 5.2597 5.2597 8.3970 Å, 90.00 90.00 60.00°
Closest atoms and distances in Å follow each position.
Positions (direct):
Cr  0.3333  0.3333  0.9395  12 W 3.00-3.08, 4 Cr 3.18-3.20
Cr  0.6667  0.6667  0.4395  12 W 3.00-3.08, 4 Cr 3.18-3.20
Cr  0.3333  0.3333  0.5605  12 W 3.00-3.08, 4 Cr 3.18-3.20
Cr  0.6667  0.6667  0.0605  12 W 3.00-3.08, 4 Cr 3.18-3.20
W  0.1706  0.6588  0.2500  6 W 2.57-2.69
W  0.8294  0.3412  0.7500  6 W 2.57-2.69
W  0.6588  0.1706  0.2500  6 W 2.57-2.69
W  0.0000  0.0000  0.5000  6 W 2.61
W  0.0000  0.0000  0.0000  6 W 2.61
W  0.1706  0.1706  0.2500  6 W 2.57-2.69
W  0.8294  0.8294  0.7500  6 W 2.57-2.69
W  0.3412  0.8294  0.7500  6 W 2.57-2.69

---

So which one is most stable? That would be P, about 225 meV/atom below the next structure.

---

## P
Below is a geometry-optimized CrW8 structure, with properties calculated at the PBE-GGA level.

Cell: 3.1608 6.8795 6.8795 Å, 86.97 76.72 76.72°
Closest atoms and distances in Å follow each position.
Positions (direct):
W  0.3363  0.0000  0.3274  2 Cr 2.70, 6 W 2.72-2.80
W  0.6637  0.6726  0.0000  2 Cr 2.70, 6 W 2.72-2.80
W  0.0000  0.3314  0.6686  8 W 2.72-2.76
W  0.3363  0.3274  0.0000  2 Cr 2.70, 6 W 2.72-2.80
W  0.6637  0.0000  0.6726  2 Cr 2.70, 6 W 2.72-2.80
W  0.6686  0.3314  0.3314  8 W 2.72-2.76
W  0.0000  0.6686  0.3314  8 W 2.72-2.76
W  0.3314  0.6686  0.6686  8 W 2.72-2.76
Cr  0.0000  0.0000  0.0000  8 W 2.70

---

## Q
Below is a geometry-optimized CrW8 structure, with properties calculated at the PBE-GGA level.

Cell: 6.0872 6.0872 6.0872 Å, 97.95 97.95 136.33°
Closest atoms and distances in Å follow each position.
Positions (direct):
W  0.3359  0.3359  0.6717  8 W 2.62-2.92, 2 Cr 2.93
W  0.6641  0.6641  0.3283  8 W 2.62-2.92, 2 Cr 2.93
W  0.3261  0.0000  0.3261  1 Cr 2.61, 3 W 2.69-2.78
W  0.3359  0.6641  0.0000  8 W 2.62-2.92, 2 Cr 2.93
W  0.6641  0.3359  0.0000  8 W 2.62-2.92, 2 Cr 2.93
W  0.6739  0.0000  0.6739  1 Cr 2.61, 3 W 2.69-2.78
W  0.0000  0.3261  0.3261  1 Cr 2.61, 3 W 2.69-2.78
W  0.0000  0.6739  0.6739  1 Cr 2.61, 3 W 2.69-2.78
Cr  0.0000  0.0000  0.0000  4 W 2.61

---

So which one is most stable? That would be P, about 350 meV/atom below the next structure.